The following is a DFT calculation (PBE) of an optimized crystal structure of KHfTe2N.

Cell lengths 5.988, 5.988, 3.994 Å; angles 90.00, 90.00, 90.00 degrees
Sites, in units of the cell vectors:
Te (0.000, 0.500, 0.000)
Te (0.500, 0.000, 0.000)
Hf (0.000, 0.000, 0.000)
K (0.500, 0.500, 0.500)
N (0.000, 0.000, 0.500)

Output
excess energy over the best structure of this formula in the dataset: 0.000 eV per atom
DOS at the Fermi energy: 3.553 states/eV/f.u.
calculated volume: 143.2 Å³ per cell

=====

The following is a DFT calculation (PBE) of an optimized crystal structure of Pm3Br2.

Cell lengths 7.272, 7.272, 7.869 Å; angles 62.48, 62.48, 60.00 degrees
Sites, in units of the cell vectors:
Pm (0.750, 0.408, 0.750)
Pm (0.908, 0.250, 0.250)
Pm (0.250, 0.592, 0.250)
Pm (0.408, 0.092, 0.750)
Pm (0.592, 0.908, 0.250)
Pm (0.092, 0.750, 0.750)
Br (0.166, 0.166, 0.502)
Br (0.834, 0.834, 0.498)
Br (0.666, 0.666, 0.002)
Br (0.334, 0.334, 0.998)

Output
VASP energy: -4.29 eV/atom
DOS at the Fermi energy: 4.120 states/eV/f.u.
calculated volume: 304.8 Å³ per cell

=====

The following is a DFT calculation (PBE) of an optimized crystal structure of TaBPd3.

Cell lengths 4.195, 4.195, 4.195 Å; angles 90.00, 90.00, 90.00 degrees
Sites, in units of the cell vectors:
Pd (0.000, 0.000, 0.500)
Pd (0.000, 0.500, 0.000)
Pd (0.500, 0.000, 0.000)
B (0.000, 0.000, 0.000)
Ta (0.500, 0.500, 0.500)

Output
excess energy over the best structure of this formula in the dataset: 0.000 eV per atom
DOS at the Fermi energy: 6.909 states/eV/f.u.
calculated volume: 73.8 Å³ per cell

=====

The following is a DFT calculation (PBE) of an optimized crystal structure of K2PaGeS5.

Cell lengths 4.225, 9.342, 13.671 Å; angles 90.00, 90.00, 103.07 degrees
Site moments in Bohr magnetons follow the coordinates.
Sites, in units of the cell vectors:
Pa (0.205, 0.410, 0.031)  0.29
Pa (0.795, 0.590, 0.531)  0.29
S (0.340, 0.679, 0.007)  -0.01
S (0.660, 0.321, 0.507)  -0.01
S (0.689, 0.378, 0.899)  -0.01
S (0.051, 0.102, 0.013)  -0.01
S (0.311, 0.622, 0.399)  -0.01
S (0.494, 0.988, 0.287)  0.00
S (0.949, 0.898, 0.513)  -0.01
S (0.702, 0.403, 0.152)  -0.01
S (0.506, 0.012, 0.787)  0.00
S (0.298, 0.597, 0.652)  -0.01
K (0.123, 0.246, 0.332)  0.00
K (0.877, 0.754, 0.832)  0.00
K (0.891, 0.783, 0.174)  0.00
K (0.109, 0.217, 0.674)  0.00
Ge (0.558, 0.116, 0.930)  0.00
Ge (0.442, 0.884, 0.430)  0.00

Output
VASP energy: -5.26 eV/atom
DOS at the Fermi energy: 2.060 states/eV/f.u.
calculated volume: 525.7 Å³ per cell

=====

The following is a DFT calculation (PBE) of an optimized crystal structure of K3ScTc.

Cell lengths 6.098, 6.098, 6.098 Å; angles 90.00, 90.00, 90.00 degrees
Site moments in Bohr magnetons follow the coordinates.
Sites, in units of the cell vectors:
K (0.000, 0.000, 0.500)  -0.01
K (0.500, 0.000, 0.000)  0.01
K (0.000, 0.500, 0.000)  0.00
Tc (0.000, 0.000, 0.000)  2.71
Sc (0.500, 0.500, 0.500)  -0.94

Output
excess energy over the best structure of this formula in the dataset: 0.000 eV per atom
DOS at the Fermi energy: 2.873 states/eV/f.u.
calculated volume: 226.8 Å³ per cell

=====

| no. | mass density (g/cm3) | size of the total moment (Bohr magnetons per cell) |
| --- | --- | --- |
| 1 | 5.645 | 0.0 |
| 2 | 6.481 | 0.0 |
| 3 | 11.491 | 0.0 |
| 4 | 3.425 | 0.5 |
| 5 | 1.905 | 1.0 |